Computed, not measured: PuMn3I9 after structural relaxation at the PBE level of DFT.

Summary:
The raw formation energy comes out at -0.58 eV/atom.

```
data_PuMn3I9
_space_group_name_H-M_alt 'C 1 c 1'
_space_group_IT_number 9
_cell_length_a 20.473
_cell_length_b 10.471
_cell_length_c 14.735
_cell_angle_alpha 90.00
_cell_angle_beta 128.87
_cell_angle_gamma 90.00
loop_
_space_group_symop_operation_xyz
'x,y,z'
'x,-y,z+1/2'
'x+1/2,y+1/2,z'
'x+1/2,-y+1/2,z+1/2'
loop_
_atom_site_label
_atom_site_fract_x
_atom_site_fract_y
_atom_site_fract_z
Pu1 0.000 0.226 0.000
Mn1 0.141 0.426 0.832
Mn2 0.270 0.071 0.787
Mn3 0.360 0.378 0.671
I1 0.010 0.317 0.806
I2 0.097 0.478 0.131
I3 0.138 0.018 0.076
I4 0.200 0.370 0.474
I5 0.259 0.242 0.916
I6 0.346 0.122 0.443
I7 0.358 0.449 0.305
I8 0.389 0.150 0.774
I9 0.494 0.419 0.681
```